# Fe5Rh4 | Alexandria via LeMat-Bulk | GGA-PBEsol | relaxed
data_Fe5Rh4
_cell_length_a 5.693
_cell_length_b 5.693
_cell_length_c 5.693
_cell_angle_alpha 96.04
_cell_angle_beta 96.04
_cell_angle_gamma 142.15
_symmetry_space_group_name_H-M 'P 1'
_symmetry_Int_Tables_number 1
loop_
_symmetry_equiv_pos_as_xyz
'x,y,z'
loop_
_atom_site_label
_atom_site_fract_x
_atom_site_fract_y
_atom_site_fract_z
_atom_site_occupancy
Fe1 0.000 0.000 0.000 1
Fe2 0.339 0.339 0.679 1
Fe3 0.339 0.661 0.000 1
Fe4 0.661 0.339 0.000 1
Fe5 0.661 0.661 0.321 1
Rh1 0.000 0.322 0.322 1
Rh2 0.000 0.678 0.678 1
Rh3 0.322 0.000 0.322 1
Rh4 0.678 0.000 0.678 1
# E_form: 3 kJ/mol of atoms
# SG: No. 139
# D(E_F): 10.0 states/eV/f.u.